TbPm2Bi4 after structural relaxation. Source: Alexandria via LeMat-Bulk, functional GGA-PBE.

Geometry as extended XYZ:
```
14
Lattice="2.2650 -5.6848 0.0000 2.2650 5.6848 0.0000 0.0000 0.0000 17.5300" Properties=species:S:1:pos:R:3 pbc="T T T"
Tb 2.2650 5.1612 13.1475
Tb 2.2650 -5.1612 4.3825
Pm 2.2650 1.8761 10.0873
Pm 2.2650 1.8761 16.2077
Pm 2.2650 -1.8761 1.3223
Pm 2.2650 -1.8761 7.4427
Bi 0.0000 0.0000 0.0000
Bi 0.0000 0.0000 8.7650
Bi 2.2650 1.8605 13.1475
Bi 2.2650 1.5631 2.1637
Bi 2.2650 1.5631 6.6013
Bi 2.2650 -1.5631 10.9286
Bi 2.2650 -1.5631 15.3663
Bi 2.2650 -1.8605 4.3825
```

Output
Symmetry = Cmcm, No. 63
VASP energy = -4.88 eV per atom
Formation enthalpy at 0 K = -641 meV/atom